A plane-wave DFT calculation with GGA-PBE was carried out for crystalline LaPmGdRu at its relaxed geometry.

V = 25.887 Å³ per atom
Raw total energy = -8.10 eV per atom
Energy relative to the elements = 0.1618 eV/atom
Space group = No. 216

Cell: 5.271 5.271 5.271 Å, 60.00 60.00 60.00°
Element x y z (fractional)
Pm  0.500  0.500  0.500
La  0.000  0.000  0.000
Ru  0.250  0.250  0.250
Gd  0.750  0.750  0.750